Entry from Alexandria via LeMat-Bulk: an optimized crystal structure of Pr2BeMoO6 (GGA+U).

Values from the calculation:
Raw total energy (eV for the cell shown): -76.44
Total magnetic moment (μB/f.u.): 2.00
Density (g/cm³): 6.379

Structure (CIF):
```
data_Pr2BeMoO6
_symmetry_space_group_name_H-M 'P 1'
_symmetry_Int_Tables_number 1
_symmetry_space_group_name_Hall 'P 1'
_cell_length_a 5.3134
_cell_length_b 5.4463
_cell_length_c 5.5723
_cell_angle_alpha 96.19
_cell_angle_beta 112.39
_cell_angle_gamma 116.52
loop_
_atom_site_label
_atom_site_type_symbol
_atom_site_fract_x
_atom_site_fract_y
_atom_site_fract_z
Pr1 Pr 0.0000 0.0000 0.0000
Pr2 Pr 0.0015 0.4508 0.5652
Be1 Be 0.3851 0.1755 0.6679
Mo1 Mo 0.5049 0.7200 0.2805
O1 O 0.0062 0.8864 0.5508
O2 O 0.0569 0.5960 0.0352
O3 O 0.3938 0.3833 0.4527
O4 O 0.3992 0.4007 0.9270
O5 O 0.5872 0.0255 0.6255
O6 O 0.6650 0.0530 0.1564
```